[1]
Here is Pm2In2O5 after structural relaxation from OQMD via LeMat-Bulk. Energies are from PBE.

Computed properties:
- final energy (eV per cell) = -58.60
- symmetry = P4/mmm (123)

POSCAR file:
```
Pm2In2O5
1.0
8.876 0.000 0.000
0.000 4.140 0.000
0.000 0.000 4.140
In O Pm
2 5 2
Direct
0.000 0.000 0.000
0.500 0.000 0.000
0.147 0.500 0.000
0.853 0.500 0.000
0.147 0.000 0.500
0.853 0.000 0.500
0.500 0.500 0.500
0.244 0.500 0.500
0.756 0.500 0.500
```



[2]
Here is PmInO3 after structural relaxation from OQMD via LeMat-Bulk. Energies are from PBE.

Computed properties:
- final energy (eV per cell) = -138.88
- symmetry = Pnma (62)

POSCAR file:
```
PmInO3
1.0
5.610 0.000 0.000
0.000 5.928 0.000
0.000 0.000 8.151
In O Pm
4 12 4
Direct
0.500 0.000 0.000
0.000 0.500 0.000
0.500 0.000 0.500
0.000 0.500 0.500
0.688 0.309 0.067
0.812 0.809 0.067
0.132 0.442 0.250
0.368 0.942 0.250
0.688 0.309 0.433
0.812 0.809 0.433
0.188 0.191 0.567
0.312 0.691 0.567
0.632 0.058 0.750
0.868 0.558 0.750
0.188 0.191 0.933
0.312 0.691 0.933
0.980 0.064 0.250
0.520 0.564 0.250
0.480 0.436 0.750
0.020 0.936 0.750
```



[3]
Here is PmInO3 after structural relaxation from OQMD via LeMat-Bulk. Energies are from PBE.

Computed properties:
- final energy (eV per cell) = -68.57
- symmetry = R-3c (167)

POSCAR file:
```
PmInO3
1.0
-3.004 4.133 -2.523
2.763 4.636 -1.828
0.610 0.760 -5.614
In O Pm
2 6 2
Direct
0.000 0.000 0.000
0.500 0.500 0.500
0.750 0.362 0.138
0.638 0.862 0.250
0.138 0.750 0.362
0.862 0.250 0.638
0.362 0.138 0.750
0.250 0.638 0.862
0.250 0.250 0.250
0.750 0.750 0.750
```



[4]
Here is PmInO3 after structural relaxation from OQMD via LeMat-Bulk. Energies are from PBE.

Computed properties:
- final energy (eV per cell) = -33.71
- symmetry = P4mm (99)

POSCAR file:
```
PmInO3
1.0
-3.453 0.793 1.647
0.963 -2.203 3.079
1.934 3.895 2.181
In O Pm
1 3 1
Direct
0.500 0.500 0.513
0.500 0.500 0.095
0.500 0.000 0.674
0.000 0.500 0.674
0.000 0.000 0.943
```